YAl2Ir | Alexandria | PBE | optimized geometry; theoretical density = 7.63 Mg/m³; formation energy = -0.20 eV per atom
1.0
-1.346 -5.022 0.927
4.399 0.711 -2.835
1.979 -0.549 2.185
Ir Y Al
1 1 2
Direct
0.500 0.000 0.500
0.000 0.500 0.500
0.500 0.500 0.000
0.000 0.000 0.000